Material: La2IrBr
Method: DFT, PBE
State: optimized geometry

Cell lengths 6.9649, 6.9649, 6.9649 Å; angles 112.45, 112.45, 103.67 degrees
Closest atoms and distances in Å follow each position.
Sites, in units of the cell vectors:
La 0.0817 0.6250 0.9567  2 Ir 2.73
La 0.3750 0.3317 0.4567  2 Ir 2.73
La 0.6683 0.1250 0.0433  2 Ir 2.73
La 0.8750 0.9183 0.5433  2 Ir 2.73
Ir 0.0000 0.0000 0.0000  4 La 2.73
Ir 0.7500 0.2500 0.5000  4 La 2.73
Br 0.2500 0.7500 0.5000  4 La 3.17
Br 0.5000 0.5000 0.0000  4 La 3.17

Calculated values
Energy relative to the lowest polymorph listed for this composition in eV/atom: 0.422
DFT total energy in hartree per atom: -0.217